Entry 1:
RbMg2Hg (PBE, optimized geometry); DFT total energy = -3.717 eV/cell
1.0
1.889 1.090 11.262
-1.889 1.090 11.262
0.000 -2.181 11.262
Rb Mg Hg
1 2 1
Cartesian
0.000 0.000 0.000
0.000 0.000 3.704
0.000 0.000 30.081
0.000 0.000 16.893

Entry 2:
Ag2PRu (PBE, optimized geometry); ΔE to the lowest computed polymorph = 0.561 eV per atom; DFT total energy = -18.327 eV/cell
1.0
2.791 0.000 0.000
0.000 4.438 0.000
0.000 0.000 5.196
Ag P Ru
2 1 1
Cartesian
0.000 0.000 1.290
0.000 0.000 3.906
1.396 2.219 2.598
1.396 2.219 0.000

Entry 3:
V3HgOs (PBE, optimized geometry); ΔE to the lowest computed polymorph = 0.000 eV per atom; DFT total energy = -33.988 eV/cell
1.0
4.612 0.000 0.000
0.000 4.612 0.000
0.000 0.000 4.612
V Hg Os
3 1 1
Cartesian
0.000 0.000 2.306
0.000 2.306 0.000
2.306 0.000 0.000
2.306 2.306 2.306
0.000 0.000 0.000

Entry 4:
CaTlOs3 (PBE, optimized geometry); ΔE to the lowest computed polymorph = 0.000 eV per atom; DFT total energy = -25.646 eV/cell
1.0
5.016 0.000 0.000
0.000 5.016 0.000
0.000 0.000 5.016
Ca Tl Os
1 1 3
Cartesian
0.000 0.000 0.000
2.508 2.508 2.508
0.000 2.508 2.508
2.508 0.000 2.508
2.508 2.508 0.000

Entry 5:
NbAgPdRh (PBE, optimized geometry); DFT total energy = -25.907 eV/cell
1.0
0.000 3.189 3.189
3.189 0.000 3.189
3.189 3.189 0.000
Nb Ag Pd Rh
1 1 1 1
Cartesian
0.000 0.000 0.000
3.189 3.189 3.189
1.594 1.594 1.594
4.783 4.783 4.783

Entry 6:
Pa2NbSe8 (PBE, optimized geometry); E_form (uncorrected) = -0.525 eV/atom; DFT total energy = -62.708 eV/cell
1.0
6.976 0.000 0.000
-3.488 6.041 0.000
0.000 0.000 9.610
Pa Nb Se
2 1 8
Cartesian
0.000 4.027 1.547
3.488 2.014 8.062
0.000 0.000 4.805
0.000 1.990 3.237
-1.765 5.046 3.237
1.723 0.995 6.373
0.000 4.027 8.509
3.488 2.014 1.101
1.765 5.046 3.237
5.252 0.995 6.373
3.488 4.051 6.373

Entry 7:
Sm2ErSc3 (PBE, optimized geometry); DFT total energy = -65.024 eV/cell
1.0
7.995 -2.663 0.000
7.995 2.663 0.000
-5.328 0.000 8.190
Sm Er Sc
4 2 6
Cartesian
-1.355 0.000 2.826
1.325 0.000 5.360
9.337 0.000 2.830
12.017 0.000 5.364
4.007 0.000 2.832
6.655 0.000 5.358
1.349 0.000 0.796
-1.309 0.000 7.414
6.667 0.000 0.812
3.995 0.000 7.378
11.971 0.000 0.777
9.313 0.000 7.394

Entry 8:
PaBi2SbO8 (PBE, optimized geometry); E_form (uncorrected) = -1.921 eV/atom; DFT total energy = -84.093 eV/cell
1.0
3.621 -3.708 0.000
3.621 3.708 0.000
0.000 0.000 6.967
Pa Bi Sb O
1 2 1 8
Cartesian
0.000 0.000 0.000
3.621 0.000 1.816
3.621 0.000 5.151
0.000 0.000 3.484
3.621 2.404 1.870
3.621 2.404 5.097
1.985 0.000 3.484
2.100 0.000 0.000
5.143 0.000 0.000
5.258 0.000 3.484
3.621 -2.404 1.870
3.621 -2.404 5.097